Entry 1:
PBE-GGA CsHfNpO6, relaxed; E_tot = -157.035 eV/cell; space group = No. 74; total moment = 0.00 μB/f.u.
1.0
-3.7890 3.9827 5.4346
3.7890 -3.9827 5.4346
3.7890 3.9827 -5.4346
Cs Hf Np O
2 2 2 12
Cartesian
0.0000 1.9914 1.2020 Cs
3.7890 1.9914 4.2326 Cs
1.8945 1.9914 -2.7173 Hf
1.8945 -1.9914 2.7173 Hf
3.7890 0.0000 0.0000 Np
0.0000 0.0000 5.4346 Np
2.3898 -0.4756 1.3151 O
5.1882 -0.4756 1.3151 O
3.7890 -1.9914 3.4165 O
3.7890 1.9914 0.7364 O
2.3898 3.5072 -1.3151 O
1.3992 -0.4756 4.1195 O
2.3898 4.4583 1.3151 O
1.3992 0.4756 6.7497 O
0.0000 1.9914 4.6982 O
0.0000 5.9741 2.0181 O
-1.3992 4.4583 4.1195 O
1.3992 4.4583 4.1195 O

=====

Entry 2:
PBE-GGA Cs3HfNp2Se6, relaxed; E_tot = -74.005 eV/cell; space group = No. 12; total moment = 9.01 μB/f.u.
1.0
3.6349 -6.2943 0.0000
3.6349 6.2943 0.0000
-2.4258 0.0000 8.3927
Cs Hf Np Se
3 1 2 6
Cartesian
0.0000 0.0000 0.0000 Cs
3.6349 2.1403 0.0000 Cs
3.6349 -2.1403 0.0000 Cs
2.4220 0.0000 4.1964 Hf
2.4220 4.2005 4.1964 Np
2.4220 -4.2005 4.1964 Np
1.2800 1.9780 2.6544 Se
0.1396 0.0000 5.7516 Se
1.2800 -1.9780 2.6544 Se
3.5640 1.9780 5.7383 Se
4.7045 0.0000 2.6411 Se
3.5640 -1.9780 5.7383 Se

=====

Entry 3:
PBE-GGA Cs3HfNp2Te6, relaxed; E_tot = -67.721 eV/cell; space group = No. 12; total moment = 9.02 μB/f.u.
1.0
3.8884 -6.7350 0.0000
3.8884 6.7350 0.0000
-2.5959 0.0000 8.9408
Cs Hf Np Te
3 1 2 6
Cartesian
0.0000 0.0000 0.0000 Cs
3.8884 2.3148 0.0000 Cs
3.8884 -2.3148 0.0000 Cs
2.5905 0.0000 4.4704 Hf
2.5905 4.4978 4.4704 Np
2.5905 -4.4978 4.4704 Np
1.3687 2.1179 2.7926 Te
0.1494 0.0000 6.1670 Te
1.3687 -2.1179 2.7926 Te
3.8122 2.1179 6.1482 Te
5.0315 0.0000 2.7738 Te
3.8122 -2.1179 6.1482 Te

=====

Entry 4:
PBE-GGA CsHf3O, relaxed; relative energy among the computed polymorphs = 2659.3 meV/atom; E_tot = -21.609 eV/cell; space group = No. 221; total moment = 0.00 μB/f.u.
1.0
5.2580 0.0000 0.0000
0.0000 5.2580 0.0000
0.0000 0.0000 5.2580
Cs Hf O
1 3 1
Cartesian
0.0000 0.0000 0.0000 Cs
0.0000 0.0000 2.6290 Hf
0.0000 2.6290 0.0000 Hf
2.6290 0.0000 0.0000 Hf
2.6290 2.6290 2.6290 O

=====

Entry 5:
PBE-GGA Cs5Hf2O6, relaxed; E_tot = -163.882 eV/cell; space group = No. 15; total moment = 0.34 μB/f.u.
1.0
5.9535 -4.2386 0.0000
5.9535 4.2386 0.0000
-0.8833 0.0000 15.7337
Cs Hf O
10 4 12
Cartesian
5.2910 3.8452 11.8003 Cs
5.3909 2.1644 0.4605 Cs
6.0744 2.1644 7.4063 Cs
3.8853 0.0302 4.7501 Cs
3.4436 -0.0302 12.6170 Cs
7.5801 0.0302 3.1167 Cs
7.1384 -0.0302 10.9836 Cs
4.9493 -2.1644 8.3274 Cs
5.6328 -2.1644 15.2732 Cs
5.7327 -3.8452 3.9334 Cs
2.7281 1.2258 9.1003 Hf
3.1697 -1.2258 1.2335 Hf
7.8540 1.2258 14.5002 Hf
8.2956 -1.2258 6.6334 Hf
1.3741 1.1891 10.4759 O
2.0511 1.0611 7.1531 O
1.8158 -1.1891 2.6091 O
1.6095 -1.0611 15.0199 O
4.4298 0.4768 9.6334 O
4.8714 -0.4768 1.7666 O
6.1523 0.4768 13.9671 O
6.5939 -0.4768 6.1003 O
9.4143 1.0611 0.7138 O
9.2080 1.1891 13.1246 O
8.9726 -1.0611 8.5806 O
9.6496 -1.1891 5.2578 O

=====

Entry 6:
PBE-GGA CsHf4O8, relaxed; E_tot = -121.816 eV/cell; space group = No. 87; total moment = 0.00 μB/f.u.
1.0
-5.4293 5.4293 1.6293
5.4293 -5.4293 1.6293
5.4293 5.4293 -1.6293
Cs Hf O
1 4 8
Cartesian
0.0000 0.0000 0.0000 Cs
7.1857 1.6675 0.0000 Hf
1.6675 3.6729 0.0000 Hf
3.7618 1.7564 1.6293 Hf
-1.7564 3.7618 1.6293 Hf
3.5878 0.3979 0.0000 O
3.7098 3.1712 0.0000 O
5.0314 -1.8415 1.6293 O
2.2581 -1.7195 1.6293 O
3.1712 7.1489 0.0000 O
0.3979 7.2708 0.0000 O
1.7195 2.2581 1.6293 O
1.8415 5.0314 1.6293 O